Record 1
Compound: Li4LaAl
Source: Alexandria
Functional: GGA-PBEsol
Structure: optimized geometry

POSCAR file:
```
Li4LaAl
1.0
5.487 0.000 0.000
2.744 4.752 0.000
2.744 1.584 4.480
La Al Li
1 1 4
direct
0.000 0.000 0.000
0.750 0.750 0.750
0.377 0.377 0.377
0.377 0.377 0.868
0.868 0.377 0.377
0.377 0.868 0.377
```

Values from the calculation:
Energy (eV per atom): -2.9368
DOS(E_F) (states/eV/atom): 0.287

Record 2
Compound: LiLa3Al
Source: Alexandria
Functional: GGA-PBEsol
Structure: optimized geometry

POSCAR file:
```
LiLa3Al
1.0
-0.540 3.899 -3.422
-3.528 -2.798 -2.631
-3.803 2.042 2.927
Li Al La
1 1 3
direct
0.000 0.000 0.000
0.500 0.500 0.500
0.000 0.500 0.000
0.000 0.000 0.500
0.500 0.000 0.000
```

Values from the calculation:
Energy (eV per atom): -4.0429
DOS(E_F) (states/eV/atom): 1.335

Record 3
Compound: LiLa2Al
Source: Alexandria
Functional: GGA-PBEsol
Structure: optimized geometry

POSCAR file:
```
LiLa2Al
1.0
-0.706 2.549 2.239
-3.333 -2.811 2.149
4.711 -3.476 2.760
La Al Li
2 1 1
direct
0.079 0.000 0.158
0.413 0.500 0.826
0.685 0.500 0.371
0.802 0.000 0.604
```

Values from the calculation:
Energy (eV per atom): -4.2914
DOS(E_F) (states/eV/atom): 0.825

Record 4
Compound: Li2LaAl
Source: Alexandria
Functional: GGA-PBEsol
Structure: optimized geometry

POSCAR file:
```
Li2LaAl
1.0
5.046 0.000 0.000
2.523 4.370 0.000
2.523 1.457 4.120
La Al Li
1 1 2
direct
0.250 0.250 0.250
0.500 0.500 0.500
0.000 0.000 0.000
0.750 0.750 0.750
```

Values from the calculation:
Energy (eV per atom): -3.4376
DOS(E_F) (states/eV/atom): 0.392

Record 5
Compound: LiLa2Al
Source: Alexandria
Functional: GGA-PBEsol
Structure: optimized geometry

POSCAR file:
```
LiLa2Al
1.0
-2.869 0.980 1.329
3.178 -2.055 4.252
2.062 5.676 0.266
Al La Li
1 2 1
direct
0.500 0.000 0.000
0.758 0.516 0.782
0.242 0.484 0.218
0.000 0.000 0.500
```

Values from the calculation:
Energy (eV per atom): -4.1593
DOS(E_F) (states/eV/atom): 0.919

Record 6
Compound: LiLa2Al
Source: Alexandria
Functional: GGA-PBEsol
Structure: optimized geometry

POSCAR file:
```
LiLa2Al
1.0
-0.629 2.186 2.658
2.718 -2.350 2.575
5.391 4.015 -2.026
Li Al La
1 1 2
direct
0.500 0.500 0.000
0.500 0.500 0.500
0.000 0.000 0.722
0.000 0.000 0.278
```

Values from the calculation:
Energy (eV per atom): -4.3186
DOS(E_F) (states/eV/atom): 0.722

Record 7
Compound: LaMg8Al4
Source: Alexandria
Functional: GGA-PBEsol
Structure: optimized geometry

POSCAR file:
```
LaMg8Al4
1.0
5.670 0.000 0.000
2.835 6.987 0.000
2.835 0.000 6.987
La Mg Al
1 8 4
direct
0.000 0.000 0.000
0.715 0.785 0.785
0.285 0.215 0.215
0.500 0.785 0.215
0.500 0.215 0.785
0.650 0.350 0.350
0.350 0.650 0.650
0.000 0.350 0.650
0.000 0.650 0.350
0.000 0.500 0.000
0.500 0.500 0.000
0.500 0.000 0.500
0.000 0.000 0.500
```

Values from the calculation:
Energy (eV per atom): -2.8303
DOS(E_F) (states/eV/atom): 0.436

Record 8
Compound: LaMgAl
Source: Alexandria
Functional: GGA-PBEsol
Structure: optimized geometry

POSCAR file:
```
LaMgAl
1.0
3.510 0.000 0.000
0.000 4.983 0.000
0.000 -2.492 4.316
Mg Al La
1 1 1
direct
0.500 0.667 0.333
0.500 0.000 0.000
0.000 0.333 0.667
```

Values from the calculation:
Energy (eV per atom): -3.9443
DOS(E_F) (states/eV/atom): 0.958

Q: Which value of energy does entry 8 give?
A: -3.9443 eV per atom